A plane-wave DFT calculation with PBE was carried out for a geometry-optimized MgTcF3 structure.

Computed properties:
As for the raw formation energy: -1.743 eV per atom.

a = 4.0226 Å, b = 4.0226 Å, c = 4.0226 Å
α = 90.00°, β = 90.00°, γ = 90.00°
With the nearest neighbours (Å) after each atom.
Space group Pm-3m (No. 221)
One atom of each set of equivalent atoms:
Mg  0.0000  0.0000  0.0000  6 F 2.01
Tc  0.5000  0.5000  0.5000  12 F 2.84
F  0.0000  0.0000  0.5000  2 Mg 2.01

---

A plane-wave DFT calculation with PBE was carried out for a geometry-optimized BaPm5Te8 structure.

Computed properties:
As for the raw formation energy: -1.349 eV per atom.

a = 13.3342 Å, b = 13.3342 Å, c = 13.3342 Å
α = 90.00°, β = 90.00°, γ = 90.00°
With the nearest neighbours (Å) after each atom.
Space group F-43m (No. 216)
One atom of each set of equivalent atoms:
Ba  0.0000  0.0000  0.0000  4 Te 3.25
Pm  0.1260  0.1260  0.6260  6 Te 3.12-3.25
Pm  0.2500  0.2500  0.2500  4 Te 3.06
Te  0.1176  0.1176  0.3824  4 Pm 3.06-3.25
Te  0.1406  0.1406  0.8594  3 Pm 3.12, 1 Ba 3.25

---

Repeat the first record exactly.
A plane-wave DFT calculation with PBE was carried out for a geometry-optimized MgTcF3 structure.

Computed properties:
As for the raw formation energy: -1.743 eV per atom.

a = 4.0226 Å, b = 4.0226 Å, c = 4.0226 Å
α = 90.00°, β = 90.00°, γ = 90.00°
With the nearest neighbours (Å) after each atom.
Space group Pm-3m (No. 221)
One atom of each set of equivalent atoms:
Mg  0.0000  0.0000  0.0000  6 F 2.01
Tc  0.5000  0.5000  0.5000  12 F 2.84
F  0.0000  0.0000  0.5000  2 Mg 2.01

---

> Number 1 is which compound?

MgTcF3

---

> Among the records above, which one has the highest raw formation energy?

BaPm5Te8

---

> Which value of raw formation energy does entry 2 give?

-1.349 eV per atom